Sm2LuHf: optimized geometry, PBE.

magnetization: 0.00 μB per atom
total DFT energy (no corrections): -5.82 eV per atom
energy relative to the lowest polymorph listed for this composition: 0.0000 eV/atom

Lattice parameters (Å, degrees): 4.896 4.896 4.815 90.00 90.00 90.00
Sites, in units of the cell vectors:
Sm 0.000 0.500 0.000
Sm 0.500 0.000 0.000
Lu 0.000 0.000 0.500
Hf 0.500 0.500 0.500